Model a:
Here is crystalline AlAg2Hg at its relaxed geometry from the Alexandria database. Energies are from GGA-PBEsol.

Cell: 2.9447 4.3537 5.6669 Å, 90.00 104.22 90.00°
Closest atoms and distances in Å follow each position.
Atoms (fractional coordinates):
Al  0.0000  0.0000  0.0000  5 Ag 2.64-2.84, 2 Hg 2.70, 2 Al 2.94
Ag  0.4028  0.5000  0.8084  4 Al 2.82-2.84, 3 Hg 2.84-3.04, 6 Ag 2.94-3.10
Ag  0.7478  0.0000  0.5197  1 Al 2.64, 4 Hg 2.91-2.92, 2 Ag 2.94
Hg  0.1360  0.5000  0.2907  2 Al 2.70, 6 Ag 2.84-3.02, 2 Hg 2.94

=====

Model b:
Here is crystalline AlAg2Hg at its relaxed geometry from the Alexandria database. Energies are from GGA-PBEsol.

Cell: 2.9213 2.9213 8.1559 Å, 90.00 90.00 90.00°
Closest atoms and distances in Å follow each position.
Atoms (fractional coordinates):
Al  0.0000  0.0000  0.0000  8 Ag 2.76, 4 Al 2.92
Ag  0.5000  0.5000  0.2243  4 Al 2.76, 4 Ag 2.92, 4 Hg 3.05
Ag  0.5000  0.5000  0.7757  4 Al 2.76, 4 Ag 2.92, 4 Hg 3.05
Hg  0.0000  0.0000  0.5000  4 Hg 2.92, 8 Ag 3.05

=====

Computed energies relative to the best structure, in meV per atom: model a 34; model b 0

=====

Model a:
Here is crystalline AlAg2Hg at its relaxed geometry from the Alexandria database. Energies are from GGA-PBEsol.

Cell: 4.6257 4.6257 4.6257 Å, 60.00 60.00 60.00°
Closest atoms and distances in Å follow each position.
Atoms (fractional coordinates):
Al  0.0000  0.0000  0.0000  8 Ag 2.83
Ag  0.2500  0.2500  0.2500  4 Hg 2.83, 4 Al 2.83
Ag  0.7500  0.7500  0.7500  4 Al 2.83, 4 Hg 2.83
Hg  0.5000  0.5000  0.5000  8 Ag 2.83

=====

Model b:
Here is crystalline AlAg2Hg at its relaxed geometry from the Alexandria database. Energies are from GGA-PBEsol.

Cell: 5.4780 5.4780 5.4780 Å, 147.52 127.00 63.55°
Closest atoms and distances in Å follow each position.
Atoms (fractional coordinates):
Al  0.0000  0.0000  0.0000  4 Ag 2.66, 4 Hg 2.88
Ag  0.2335  0.7335  0.5000  2 Al 2.66, 4 Ag 2.90, 2 Hg 2.92
Ag  0.7665  0.2665  0.5000  2 Al 2.66, 4 Ag 2.90, 2 Hg 2.92
Hg  0.5000  0.5000  0.0000  4 Al 2.88, 4 Ag 2.92, 2 Hg 3.06

=====

Model c:
Here is crystalline AlAg2Hg at its relaxed geometry from the Alexandria database. Energies are from GGA-PBEsol.

Cell: 9.2011 9.2011 9.2011 Å, 18.73 18.73 18.73°
Closest atoms and distances in Å follow each position.
Atoms (fractional coordinates):
Al  0.0000  0.0000  0.0000  6 Ag 2.71, 6 Al 2.99
Ag  0.2561  0.2561  0.2561  3 Al 2.71, 3 Hg 2.98, 6 Ag 2.99
Ag  0.7439  0.7439  0.7439  3 Al 2.71, 3 Hg 2.98, 6 Ag 2.99
Hg  0.5000  0.5000  0.5000  6 Ag 2.98, 6 Hg 2.99

=====

Computed energies relative to the best structure, in meV per atom: model a 59; model b 25; model c 0

=====

Model a:
Here is crystalline La2AlAg2 at its relaxed geometry from the Alexandria database. Energies are from GGA-PBEsol.

Cell: 9.4535 9.4535 9.4535 Å, 157.05 157.05 32.68°
Closest atoms and distances in Å follow each position.
Atoms (fractional coordinates):
La  0.1047  0.1047  0.0000  4 Ag 3.24, 4 Al 3.27
La  0.8953  0.8953  0.0000  4 Ag 3.24, 4 Al 3.27
Al  0.5000  0.5000  0.0000  8 La 3.27
Ag  0.2500  0.7500  0.5000  4 Ag 2.66
Ag  0.7500  0.2500  0.5000  4 Ag 2.66

=====

Model b:
Here is crystalline La2AlAg2 at its relaxed geometry from the Alexandria database. Energies are from GGA-PBEsol.

Cell: 7.7077 7.7077 4.2094 Å, 90.00 90.00 90.00°
Closest atoms and distances in Å follow each position.
Atoms (fractional coordinates):
La  0.1771  0.3229  0.0000  6 Ag 2.99-3.18
La  0.3229  0.8229  0.0000  6 Ag 2.99-3.18
La  0.6771  0.1771  0.0000  6 Ag 2.99-3.18
La  0.8229  0.6771  0.0000  6 Ag 2.99-3.18
Al  0.0000  0.0000  0.5000  4 Ag 3.03
Al  0.5000  0.5000  0.5000  4 Ag 3.03
Ag  0.1279  0.6279  0.5000  1 Ag 2.79, 2 La 2.99, 2 Al 3.03
Ag  0.3721  0.1279  0.5000  1 Ag 2.79, 2 La 2.99, 2 Al 3.03
Ag  0.6279  0.8721  0.5000  1 Ag 2.79, 2 La 2.99, 2 Al 3.03
Ag  0.8721  0.3721  0.5000  1 Ag 2.79, 2 La 2.99, 2 Al 3.03

=====

Computed energies relative to the best structure, in meV per atom: model a 150; model b 0

=====

Model a:
Here is crystalline LiAl2Ag2 at its relaxed geometry from the Alexandria database. Energies are from GGA-PBEsol.

Cell: 6.7896 6.7896 6.7896 Å, 146.94 146.94 47.46°
Closest atoms and distances in Å follow each position.
Atoms (fractional coordinates):
Li  0.0000  0.0000  0.0000  8 Al 3.01
Al  0.3979  0.3979  0.0000  1 Al 2.54, 4 Ag 2.67
Al  0.6021  0.6021  0.0000  1 Al 2.54, 4 Ag 2.67
Ag  0.2500  0.7500  0.5000  4 Al 2.67, 4 Ag 2.73
Ag  0.7500  0.2500  0.5000  4 Al 2.67, 4 Ag 2.73

=====

Model b:
Here is crystalline LiAl2Ag2 at its relaxed geometry from the Alexandria database. Energies are from GGA-PBEsol.

Cell: 7.7543 7.7543 2.8218 Å, 90.00 90.00 90.00°
Closest atoms and distances in Å follow each position.
Atoms (fractional coordinates):
Li  0.0000  0.0000  0.0000  2 Li 2.82, 4 Ag 2.88
Li  0.5000  0.5000  0.0000  2 Li 2.82, 4 Ag 2.88
Al  0.1285  0.3715  0.5000  6 Ag 2.62-2.73, 3 Al 2.82
Al  0.3715  0.8715  0.5000  6 Ag 2.62-2.73, 3 Al 2.82
Al  0.6285  0.1285  0.5000  6 Ag 2.62-2.73, 3 Al 2.82
Al  0.8715  0.6285  0.5000  6 Ag 2.62-2.73, 3 Al 2.82
Ag  0.1705  0.6705  0.0000  6 Al 2.62-2.73, 2 Ag 2.82, 2 Li 2.88
Ag  0.3295  0.1705  0.0000  6 Al 2.62-2.73, 2 Ag 2.82, 2 Li 2.88
Ag  0.6705  0.8295  0.0000  6 Al 2.62-2.73, 2 Ag 2.82, 2 Li 2.88
Ag  0.8295  0.3295  0.0000  6 Al 2.62-2.73, 2 Ag 2.82, 2 Li 2.88

=====

Computed energies relative to the best structure, in meV per atom: model a 191; model b 0

=====

Model a:
Here is crystalline Al2NiAg at its relaxed geometry from the Alexandria database. Energies are from GGA-PBEsol.

Cell: 2.8423 2.8423 7.0668 Å, 90.00 90.00 90.00°
Closest atoms and distances in Å follow each position.
Atoms (fractional coordinates):
Al  0.0000  0.0000  0.0000  4 Ag 2.77, 8 Al 2.84-2.85
Al  0.5000  0.5000  0.2859  4 Ni 2.40
Ni  0.0000  0.0000  0.4721  4 Al 2.40
Ag  0.5000  0.5000  0.7303  4 Ni 2.71, 4 Al 2.77, 4 Ag 2.84

=====

Model b:
Here is crystalline Al2NiAg at its relaxed geometry from the Alexandria database. Energies are from GGA-PBEsol.

Cell: 2.8470 2.8470 6.8063 Å, 90.00 90.00 90.00°
Closest atoms and distances in Å follow each position.
Atoms (fractional coordinates):
Al  0.0000  0.0000  0.2113  4 Ni 2.47
Al  0.0000  0.0000  0.7887  4 Ni 2.47
Ni  0.5000  0.5000  0.0000  8 Al 2.47
Ag  0.5000  0.5000  0.5000  8 Al 2.81, 4 Ag 2.85

=====

Computed energies relative to the best structure, in meV per atom: model a 223; model b 0

=====

Model a:
Here is crystalline Al2AgPt at its relaxed geometry from the Alexandria database. Energies are from GGA-PBEsol.

Cell: 4.4325 4.4325 4.4325 Å, 60.00 60.00 60.00°
Closest atoms and distances in Å follow each position.
Atoms (fractional coordinates):
Al  0.0000  0.0000  0.0000  4 Al 2.71, 4 Ag 2.71
Al  0.2500  0.2500  0.2500  4 Al 2.71, 4 Pt 2.71
Ag  0.7500  0.7500  0.7500  4 Al 2.71, 4 Pt 2.71
Pt  0.5000  0.5000  0.5000  4 Al 2.71, 4 Ag 2.71

=====

Model b:
Here is crystalline Al2AgPt at its relaxed geometry from the Alexandria database. Energies are from GGA-PBEsol.

Cell: 2.8755 4.6976 4.4938 Å, 90.00 90.00 90.00°
Closest atoms and distances in Å follow each position.
Atoms (fractional coordinates):
Al  0.0000  0.0000  0.0000  2 Pt 2.63, 4 Ag 2.66-2.68, 6 Al 2.88-2.93
Al  0.5000  0.5000  0.2244  4 Pt 2.61-2.72, 2 Ag 2.65, 2 Al 2.88
Ag  0.5000  0.0000  0.4975  6 Al 2.65-2.68, 2 Ag 2.88, 4 Pt 2.96
Pt  0.0000  0.5000  0.7392  6 Al 2.61-2.72, 2 Pt 2.88

=====

Computed energies relative to the best structure, in meV per atom: model a 248; model b 0

=====

Model a:
Here is crystalline Al2ReAg at its relaxed geometry from the Alexandria database. Energies are from GGA-PBEsol.

Cell: 4.5869 4.5869 5.1311 Å, 99.34 99.34 34.60°
Closest atoms and distances in Å follow each position.
Atoms (fractional coordinates):
Al  0.2463  0.2463  0.2362  3 Re 2.66-2.71, 4 Al 2.73-2.79, 3 Ag 2.73-2.76
Al  0.7537  0.7537  0.7638  3 Re 2.66-2.71, 4 Al 2.73-2.79, 3 Ag 2.73-2.76
Re  0.5000  0.5000  0.0000  6 Al 2.66-2.71, 2 Re 2.73, 4 Ag 2.91
Ag  0.0000  0.0000  0.5000  2 Ag 2.73, 6 Al 2.73-2.76, 4 Re 2.91

=====

Model b:
Here is crystalline Al2ReAg at its relaxed geometry from the Alexandria database. Energies are from GGA-PBEsol.

Cell: 8.8520 8.8520 8.8520 Å, 18.44 18.44 18.44°
Closest atoms and distances in Å follow each position.
Atoms (fractional coordinates):
Al  0.2463  0.2463  0.2463  3 Re 2.65, 3 Ag 2.80, 6 Al 2.84
Al  0.7537  0.7537  0.7537  3 Re 2.65, 3 Ag 2.80, 6 Al 2.84
Re  0.5000  0.5000  0.5000  6 Al 2.65, 6 Re 2.84
Ag  0.0000  0.0000  0.0000  6 Al 2.80, 6 Ag 2.84

=====

Computed energies relative to the best structure, in meV per atom: model a 89; model b 0

=====

Model a:
Here is crystalline AlTcAg at its relaxed geometry from the Alexandria database. Energies are from GGA-PBEsol.

Cell: 4.2447 4.2447 4.2447 Å, 60.00 60.00 60.00°
Closest atoms and distances in Å follow each position.
Atoms (fractional coordinates):
Al  0.0000  0.0000  0.0000  4 Ag 2.60
Tc  0.5000  0.5000  0.5000  4 Ag 2.60
Ag  0.2500  0.2500  0.2500  4 Tc 2.60, 4 Al 2.60

=====

Model b:
Here is crystalline AlTcAg at its relaxed geometry from the Alexandria database. Energies are from GGA-PBEsol.

Cell: 4.3704 4.3704 2.7108 Å, 90.00 90.00 120.00°
Closest atoms and distances in Å follow each position.
Atoms (fractional coordinates):
Al  0.0000  0.0000  0.0000  3 Ag 2.52, 2 Al 2.71
Tc  0.6667  0.3333  0.5000  2 Tc 2.71, 6 Al 2.86, 6 Ag 2.86
Ag  0.3333  0.6667  0.0000  3 Al 2.52, 2 Ag 2.71

=====

Computed energies relative to the best structure, in meV per atom: model a 654; model b 0

=====

Model a:
Here is crystalline AlTlAg2 at its relaxed geometry from the Alexandria database. Energies are from GGA-PBEsol.

Cell: 4.7594 4.7594 4.7594 Å, 60.00 60.00 60.00°
Closest atoms and distances in Å follow each position.
Atoms (fractional coordinates):
Al  0.0000  0.0000  0.0000  4 Ag 2.91, 4 Tl 2.91
Tl  0.2500  0.2500  0.2500  4 Ag 2.91, 4 Al 2.91
Ag  0.5000  0.5000  0.5000  4 Tl 2.91, 4 Ag 2.91
Ag  0.7500  0.7500  0.7500  4 Ag 2.91, 4 Al 2.91

=====

Model b:
Here is crystalline AlTlAg2 at its relaxed geometry from the Alexandria database. Energies are from GGA-PBEsol.

Cell: 5.6484 5.6484 5.6484 Å, 148.77 124.61 64.97°
Closest atoms and distances in Å follow each position.
Atoms (fractional coordinates):
Al  0.0000  0.0000  0.0000  4 Ag 2.65
Tl  0.5000  0.5000  0.0000  4 Ag 3.01, 4 Al 3.03, 2 Tl 3.04
Ag  0.2276  0.7276  0.5000  2 Al 2.65
Ag  0.7724  0.2724  0.5000  2 Al 2.65

=====

Computed energies relative to the best structure, in meV per atom: model a 69; model b 0

=====

Model a:
Here is crystalline AlZnAg at its relaxed geometry from the Alexandria database. Energies are from GGA-PBEsol.

Cell: 6.9532 6.7118 2.8178 Å, 82.95 73.33 23.72°
Closest atoms and distances in Å follow each position.
Atoms (fractional coordinates):
Al  0.0000  0.0000  0.0000  2 Zn 2.62, 2 Ag 2.69, 4 Al 2.82
Zn  0.6627  0.6627  0.3373  2 Al 2.62, 2 Ag 2.67, 4 Zn 2.82
Ag  0.3300  0.3300  0.6700  2 Zn 2.67, 2 Al 2.69, 4 Ag 2.82

=====

Model b:
Here is crystalline AlZnAg at its relaxed geometry from the Alexandria database. Energies are from GGA-PBEsol.

Cell: 4.7092 4.7092 4.7092 Å, 141.75 133.51 61.72°
Closest atoms and distances in Å follow each position.
Atoms (fractional coordinates):
Al  0.0000  0.0000  0.0000  5 Ag 2.69-2.77, 5 Zn 2.70-2.76
Zn  0.6664  0.6664  0.0000  5 Ag 2.69-2.77, 5 Al 2.70-2.76
Ag  0.3333  0.3333  0.0000  5 Zn 2.69-2.77, 5 Al 2.69-2.77

=====

Computed energies relative to the best structure, in meV per atom: model a 79; model b 0

=====

Model a:
Here is crystalline AlZnAg at its relaxed geometry from the Alexandria database. Energies are from GGA-PBEsol.

Cell: 6.2858 6.2858 6.2858 Å, 154.31 154.31 36.65°
Closest atoms and distances in Å follow each position.
Atoms (fractional coordinates):
Al  0.0000  0.0000  0.0000  4 Zn 2.76, 4 Al 2.79, 4 Ag 2.83
Zn  0.6609  0.6609  0.0000  4 Al 2.76, 4 Zn 2.79, 4 Ag 2.83
Ag  0.3302  0.3302  0.0000  4 Ag 2.79, 4 Zn 2.83, 4 Al 2.83

=====

Model b:
Here is crystalline AlZnAg at its relaxed geometry from the Alexandria database. Energies are from GGA-PBEsol.

Cell: 2.8771 2.8771 6.5054 Å, 90.00 90.00 120.00°
Closest atoms and distances in Å follow each position.
Atoms (fractional coordinates):
Al  0.0000  0.0000  0.0000  3 Zn 2.71, 3 Ag 2.75, 6 Al 2.88
Zn  0.3333  0.6667  0.6701  3 Al 2.71, 3 Ag 2.74, 6 Zn 2.88
Ag  0.6667  0.3333  0.3360  3 Zn 2.74, 3 Al 2.75, 6 Ag 2.88

=====

Computed energies relative to the best structure, in meV per atom: model a 19; model b 0

=====

Model a:
Here is crystalline ZrAl2Ag at its relaxed geometry from the Alexandria database. Energies are from GGA-PBEsol.

Cell: 4.1827 4.1827 3.9471 Å, 90.00 90.00 90.00°
Closest atoms and distances in Å follow each position.
Atoms (fractional coordinates):
Zr  0.0000  0.0000  0.0000  8 Al 2.88, 4 Ag 2.96
Al  0.0000  0.5000  0.5000  4 Ag 2.88, 4 Zr 2.88, 4 Al 2.96
Al  0.5000  0.0000  0.5000  4 Ag 2.88, 4 Zr 2.88, 4 Al 2.96
Ag  0.5000  0.5000  0.0000  8 Al 2.88, 4 Zr 2.96

=====

Model b:
Here is crystalline ZrAl2Ag at its relaxed geometry from the Alexandria database. Energies are from GGA-PBEsol.

Cell: 3.0343 3.0343 7.4832 Å, 90.00 90.00 90.00°
Closest atoms and distances in Å follow each position.
Atoms (fractional coordinates):
Zr  0.0000  0.0000  0.0000  8 Al 2.95, 4 Zr 3.03
Al  0.5000  0.5000  0.2707  4 Ag 2.75, 4 Zr 2.95, 4 Al 3.03
Al  0.5000  0.5000  0.7293  4 Ag 2.75, 4 Zr 2.95, 4 Al 3.03
Ag  0.0000  0.0000  0.5000  8 Al 2.75, 4 Ag 3.03

=====

Model c:
Here is crystalline ZrAl2Ag at its relaxed geometry from the Alexandria database. Energies are from GGA-PBEsol.

Cell: 4.6343 4.6343 4.6343 Å, 60.00 60.00 60.00°
Closest atoms and distances in Å follow each position.
Atoms (fractional coordinates):
Zr  0.0000  0.0000  0.0000  4 Ag 2.84, 4 Al 2.84
Al  0.2500  0.2500  0.2500  4 Zr 2.84, 4 Al 2.84
Al  0.5000  0.5000  0.5000  4 Ag 2.84, 4 Al 2.84
Ag  0.7500  0.7500  0.7500  4 Zr 2.84, 4 Al 2.84

=====

Computed energies relative to the best structure, in meV per atom: model a 0; model b 104; model c 338